(1)
Below is a relaxed B5C crystal, with properties calculated at the GGA-PBE level.

Energy relative to the lowest polymorph listed for this composition, eV per atom: 0.1131
Total moment, μB per formula unit: 0.00
DFT formation energy, eV/atom: 0.310

Cell: 5.7904 5.7904 6.2236 Å, 122.36 122.36 28.39°
Sites, in units of the cell vectors:
B: 0.0543 0.0543 0.2379
B: 0.1262 0.1262 0.0376
B: 0.3120 0.3120 0.7859
B: 0.3157 0.3157 0.3032
B: 0.4183 0.4183 0.1752
B: 0.5817 0.5817 0.8248
B: 0.6843 0.6843 0.6968
B: 0.6880 0.6880 0.2141
B: 0.8738 0.8738 0.9624
B: 0.9457 0.9457 0.7621
C: 0.3987 0.3987 0.6156
C: 0.6013 0.6013 0.3844

=====

(2)
Below is a relaxed MnPd2S3 crystal, with properties calculated at the GGA-PBE level.

Total moment, μB per formula unit: 3.95
ΔE_f (raw), eV/atom: -0.27

Cell: 6.2132 6.2132 6.2132 Å, 146.73 131.77 59.85°
Sites, in units of the cell vectors:
Mn: 0.0000 0.0000 0.0000
Pd: 0.3352 0.3352 0.0000
Pd: 0.6648 0.6648 0.0000
S: 0.1604 0.6604 0.5000
S: 0.5000 0.0000 0.5000
S: 0.8396 0.3396 0.5000